Below is a relaxed NdEr2Ti crystal, with properties calculated at the PBE level.

Unit cell a=3.3807 b=3.3807 c=9.7965 alpha=90.00 beta=90.00 gamma=90.00
Closest atoms and distances in Å follow each position.
Fractional positions:
Ti: 0.5000 0.5000 0.0000  8 Er 3.16, 4 Ti 3.38
Nd: 0.5000 0.5000 0.5000  4 Nd 3.38, 8 Er 3.71
Er: 0.0000 0.0000 0.7891  4 Ti 3.16, 4 Er 3.38
Er: 0.0000 0.0000 0.2109  4 Ti 3.16, 4 Er 3.38

Summary:
For the relative energy among the computed polymorphs, the calculation gives 0 meV per atom. For the total DFT energy (no corrections), the calculation gives -5.298 eV per atom. The value obtained for the formation energy is 14.4 kJ/mol of atoms. Its total magnetic moment is 0.000 μB per atom.


Below is a relaxed BaFe2Se crystal, with properties calculated at the PBE level.

Unit cell a=4.2318 b=4.2318 c=6.2280 alpha=70.09 beta=70.09 gamma=60.02
Closest atoms and distances in Å follow each position.
Fractional positions:
Ba: 0.2500 0.2500 0.2500  2 Fe 3.10
Fe: 0.0696 0.0696 0.7914  3 Se 2.45-2.46, 3 Fe 2.49
Fe: 0.4304 0.4304 0.7086  3 Se 2.45-2.46, 3 Fe 2.49
Se: 0.7500 0.7500 0.7500  6 Fe 2.45-2.46

Summary:
The uncorrected formation energy is -7.2 kJ/mol of atoms. For the total DFT energy (no corrections), the calculation gives -5.658 eV per atom. Its total magnetic moment is 0.926 μB per atom.


Below is a relaxed BaTaZn crystal, with properties calculated at the PBE level.

Unit cell a=5.0510 b=5.0510 c=5.0510 alpha=60.00 beta=60.00 gamma=60.00
Closest atoms and distances in Å follow each position.
Fractional positions:
Ba: 0.0000 0.0000 0.0000  4 Zn 3.09
Ta: 0.5000 0.5000 0.5000  4 Zn 3.09
Zn: 0.7500 0.7500 0.7500  4 Ba 3.09, 4 Ta 3.09

Summary:
For the relative energy among the computed polymorphs, the calculation gives 671 meV per atom. For the total DFT energy (no corrections), the calculation gives -3.768 eV per atom. The value obtained for the formation energy is 120.4 kJ/mol of atoms. Its total magnetic moment is 0.954 μB per atom.


Below is a relaxed ErScZn crystal, with properties calculated at the PBE level.

Unit cell a=4.5870 b=7.2734 c=7.2734 alpha=120.00 beta=90.00 gamma=90.00
Closest atoms and distances in Å follow each position.
Fractional positions:
Zn: 0.5000 0.6667 0.3333  3 Sc 2.75
Zn: 0.5000 0.3333 0.6667  3 Sc 2.75
Zn: 0.0000 0.0000 0.0000  6 Sc 2.95, 3 Er 2.97
Er: 0.0000 0.5912 0.5912  5 Zn 2.97-3.18
Er: 0.0000 0.0000 0.4088  5 Zn 2.97-3.18
Er: 0.0000 0.4088 0.0000  5 Zn 2.97-3.18
Sc: 0.5000 0.0000 0.7451  4 Zn 2.75-2.95
Sc: 0.5000 0.7451 0.0000  4 Zn 2.75-2.95
Sc: 0.5000 0.2549 0.2549  4 Zn 2.75-2.95

Summary:
For the relative energy among the computed polymorphs, the calculation gives 19 meV per atom. For the total DFT energy (no corrections), the calculation gives -4.244 eV per atom. The value obtained for the formation energy is -18.1 kJ/mol of atoms. Its total magnetic moment is 0.000 μB per atom.


Below is a relaxed MnH2 crystal, with properties calculated at the PBE level.

Unit cell a=2.5544 b=2.5544 c=4.3323 alpha=90.00 beta=90.00 gamma=120.00
Closest atoms and distances in Å follow each position.
Fractional positions:
Mn: 0.0000 0.0000 0.0000  6 H 1.76
H: 0.3333 0.6667 0.2212  3 Mn 1.76
H: 0.6667 0.3333 0.7788  3 Mn 1.76

Summary:
For the total DFT energy (no corrections), the calculation gives -5.223 eV per atom. Its total magnetic moment is 0.722 μB per atom.


Below is a relaxed MnNb6Pd12 crystal, with properties calculated at the PBE level.

Unit cell a=6.7738 b=6.7738 c=6.7738 alpha=89.58 beta=89.58 gamma=89.58
Closest atoms and distances in Å follow each position.
Fractional positions:
Mn: 0.0000 0.0000 0.0000  6 Nb 2.64, 6 Pd 2.72
Nb: 0.7243 0.8822 0.2501  1 Mn 2.64, 8 Pd 2.72-2.93, 2 Nb 2.81
Nb: 0.7499 0.2757 0.1178  1 Mn 2.64, 8 Pd 2.72-2.93, 2 Nb 2.81
Nb: 0.1178 0.7499 0.2757  1 Mn 2.64, 8 Pd 2.72-2.93, 2 Nb 2.81
Nb: 0.2757 0.1178 0.7499  1 Mn 2.64, 8 Pd 2.72-2.93, 2 Nb 2.81
Nb: 0.2501 0.7243 0.8822  1 Mn 2.64, 8 Pd 2.72-2.93, 2 Nb 2.81
Nb: 0.8822 0.2501 0.7243  1 Mn 2.64, 8 Pd 2.72-2.93, 2 Nb 2.81
Pd: 0.7963 0.5300 0.4418  4 Nb 2.75-2.87, 6 Pd 2.75-3.05
Pd: 0.4418 0.7963 0.5300  4 Nb 2.75-2.87, 6 Pd 2.75-3.05
Pd: 0.5300 0.4418 0.7963  4 Nb 2.75-2.87, 6 Pd 2.75-3.05
Pd: 0.2037 0.4700 0.5582  4 Nb 2.75-2.87, 6 Pd 2.75-3.05
Pd: 0.5582 0.2037 0.4700  4 Nb 2.75-2.87, 6 Pd 2.75-3.05
Pd: 0.4700 0.5582 0.2037  4 Nb 2.75-2.87, 6 Pd 2.75-3.05
Pd: 0.0406 0.1473 0.3692  4 Pd 2.71-2.78, 1 Mn 2.72, 4 Nb 2.72-2.93
Pd: 0.8527 0.6308 0.9594  4 Pd 2.71-2.78, 1 Mn 2.72, 4 Nb 2.72-2.93
Pd: 0.6308 0.9594 0.8527  4 Pd 2.71-2.78, 1 Mn 2.72, 4 Nb 2.72-2.93
Pd: 0.9594 0.8527 0.6308  4 Pd 2.71-2.78, 1 Mn 2.72, 4 Nb 2.72-2.93
Pd: 0.1473 0.3692 0.0406  4 Pd 2.71-2.78, 1 Mn 2.72, 4 Nb 2.72-2.93
Pd: 0.3692 0.0406 0.1473  4 Pd 2.71-2.78, 1 Mn 2.72, 4 Nb 2.72-2.93

Summary:
For the total DFT energy (no corrections), the calculation gives -7.124 eV per atom. The value obtained for the formation energy is -17.6 kJ/mol of atoms. Its total magnetic moment is 0.000 μB per atom.


Below is a relaxed PmNd4Rh2 crystal, with properties calculated at the PBE level.

Unit cell a=4.0978 b=4.0978 c=15.3647 alpha=82.34 beta=82.34 gamma=60.00
Closest atoms and distances in Å follow each position.
Fractional positions:
Pm: 0.5000 0.5000 0.5000  6 Nd 3.77, 6 Pm 4.10
Nd: 0.7006 0.7006 0.8982  3 Rh 2.82
Nd: 0.8977 0.8977 0.3069  3 Rh 2.84
Nd: 0.2994 0.2994 0.1018  3 Rh 2.82
Nd: 0.1023 0.1023 0.6931  3 Rh 2.84
Rh: 0.5990 0.5990 0.2031  6 Nd 2.82-2.84
Rh: 0.4010 0.4010 0.7969  6 Nd 2.82-2.84

Summary:
For the total DFT energy (no corrections), the calculation gives -5.864 eV per atom. The value obtained for the formation energy is -34.7 kJ/mol of atoms. Its total magnetic moment is 0.000 μB per atom.


Below is a relaxed Ce2PtAu crystal, with properties calculated at the PBE level.

Unit cell a=7.2338 b=6.2137 c=6.2137 alpha=73.06 beta=54.40 gamma=54.40
Closest atoms and distances in Å follow each position.
Fractional positions:
Ce: 0.2125 0.2875 0.7875  1 Ce 2.93, 4 Pt 3.07-3.21, 4 Au 3.09-3.17
Ce: 0.2875 0.7125 0.2125  1 Ce 2.93, 4 Pt 3.07-3.21, 4 Au 3.09-3.17
Ce: 0.7875 0.7125 0.2125  1 Ce 2.93, 4 Pt 3.07-3.21, 4 Au 3.09-3.17
Ce: 0.7125 0.2875 0.7875  1 Ce 2.93, 4 Pt 3.07-3.21, 4 Au 3.09-3.17
Pt: 0.7500 0.2014 0.2986  1 Au 3.03, 8 Ce 3.07-3.21
Pt: 0.2500 0.7986 0.7014  1 Au 3.03, 8 Ce 3.07-3.21
Au: 0.2500 0.2087 0.2913  1 Pt 3.03, 8 Ce 3.09-3.17
Au: 0.7500 0.7913 0.7087  1 Pt 3.03, 8 Ce 3.09-3.17

Summary:
For the total DFT energy (no corrections), the calculation gives -6.096 eV per atom. The value obtained for the formation energy is -77.1 kJ/mol of atoms. Its total magnetic moment is 0.310 μB per atom.


Below is a relaxed Pa2B3Ru crystal, with properties calculated at the PBE level.

Unit cell a=5.2413 b=5.2413 c=7.3328 alpha=111.91 beta=111.91 gamma=87.47
Closest atoms and distances in Å follow each position.
Fractional positions:
Pa: 0.2500 0.7500 0.5000  4 Ru 2.80, 8 B 2.94-2.95
Pa: 0.7377 0.7377 0.0000  10 B 2.67-2.87, 2 Ru 2.80
Pa: 0.7500 0.2500 0.5000  4 Ru 2.80, 8 B 2.94-2.95
Pa: 0.2623 0.2623 0.0000  10 B 2.67-2.87, 2 Ru 2.80
B: 0.2898 0.8549 0.1446  2 B 1.80-1.82
B: 0.1451 0.7102 0.8554  2 B 1.80-1.82
B: 0.7102 0.1451 0.8554  2 B 1.80-1.82
B: 0.8549 0.2898 0.1446  2 B 1.80-1.82
B: 0.1414 0.1414 0.2829  2 B 1.80
B: 0.8586 0.8586 0.7171  2 B 1.80
Ru: 0.6713 0.6713 0.3426  3 B 2.35-2.40
Ru: 0.3287 0.3287 0.6574  3 B 2.35-2.40

Summary:
For the total DFT energy (no corrections), the calculation gives -8.529 eV per atom. The value obtained for the formation energy is -46.3 kJ/mol of atoms. Its total magnetic moment is 0.000 μB per atom.


Below is a relaxed TaCr2C crystal, with properties calculated at the PBE level.

Unit cell a=6.6692 b=6.6692 c=5.2098 alpha=50.20 beta=50.20 gamma=90.00
Closest atoms and distances in Å follow each position.
Fractional positions:
Cr: 0.5167 0.1250 0.2500  2 C 1.99
Cr: 0.2333 0.6250 0.2500  2 C 1.99
Cr: 0.3750 0.4833 0.7500  2 C 1.99
Cr: 0.8750 0.7667 0.7500  2 C 1.99
C: 0.5000 0.5000 0.0000  4 Cr 1.99, 2 Ta 2.21
C: 0.2500 0.7500 0.5000  4 Cr 1.99, 2 Ta 2.21
Ta: 0.0000 0.0000 0.0000  2 C 2.21
Ta: 0.7500 0.2500 0.5000  2 C 2.21

Summary:
For the total DFT energy (no corrections), the calculation gives -9.912 eV per atom. The value obtained for the formation energy is 16.3 kJ/mol of atoms. Its total magnetic moment is 0.000 μB per atom.


Below is a relaxed Rb2NaPt crystal, with properties calculated at the PBE level.

Unit cell a=7.4736 b=7.4736 c=10.5442 alpha=69.24 beta=69.24 gamma=90.00
Closest atoms and distances in Å follow each position.
Fractional positions:
Na: 0.5000 0.5000 0.0000  4 Rb 4.04
Na: 0.2500 0.7500 0.5000  4 Rb 4.04
Rb: 0.7454 0.1250 0.2500  2 Pt 3.10
Rb: 0.0046 0.6250 0.2500  2 Pt 3.10
Rb: 0.3750 0.2546 0.7500  2 Pt 3.10
Rb: 0.8750 0.9954 0.7500  2 Pt 3.10
Pt: 0.0000 0.0000 0.0000  4 Rb 3.10
Pt: 0.7500 0.2500 0.5000  4 Rb 3.10

Summary:
For the total DFT energy (no corrections), the calculation gives -1.877 eV per atom. The value obtained for the formation energy is 43.1 kJ/mol of atoms. Its total magnetic moment is 0.000 μB per atom.


Below is a relaxed NaTl5InPb2 crystal, with properties calculated at the PBE level.

Unit cell a=5.4170 b=8.4067 c=12.5173 alpha=90.00 beta=90.00 gamma=108.80
Closest atoms and distances in Å follow each position.
Fractional positions:
Na: 0.5810 0.1619 0.9284  6 Tl 3.34-3.42, 4 Pb 3.44-3.73
Na: 0.4190 0.8381 0.4284  6 Tl 3.34-3.42, 4 Pb 3.44-3.73
Tl: 0.4147 0.8294 0.0913  1 In 3.30, 1 Na 3.34, 2 Tl 3.36-3.39, 4 Pb 3.43-3.47
Tl: 0.7472 0.4945 0.7635  1 Na 3.36, 3 Pb 3.36-3.68, 4 Tl 3.36-3.51, 2 In 3.39
Tl: 0.4165 0.8330 0.7559  1 In 3.37, 4 Tl 3.38-3.41, 2 Pb 3.39, 1 Na 3.39
Tl: 0.2493 0.4986 0.5853  1 Na 3.34, 2 Pb 3.34-3.41, 2 In 3.36, 3 Tl 3.41-3.51
Tl: 0.9152 0.8305 0.5949  3 Tl 3.38-3.41, 1 In 3.40, 2 Na 3.42, 2 Pb 3.43-3.47
Tl: 0.5853 0.1706 0.5913  1 In 3.30, 1 Na 3.34, 2 Tl 3.36-3.39, 4 Pb 3.43-3.47
Tl: 0.2528 0.5055 0.2635  1 Na 3.36, 3 Pb 3.36-3.68, 4 Tl 3.36-3.51, 2 In 3.39
Tl: 0.5835 0.1670 0.2559  1 In 3.37, 4 Tl 3.38-3.41, 2 Pb 3.39, 1 Na 3.39
Tl: 0.7507 0.5014 0.0853  1 Na 3.34, 2 Pb 3.34-3.41, 2 In 3.36, 3 Tl 3.41-3.51
Tl: 0.0848 0.1695 0.0949  3 Tl 3.38-3.41, 1 In 3.40, 2 Na 3.42, 2 Pb 3.43-3.47
In: 0.7472 0.4945 0.4266  7 Tl 3.30-3.40, 1 Pb 3.32
In: 0.2528 0.5055 0.9266  7 Tl 3.30-3.40, 1 Pb 3.32
Pb: 0.9197 0.8394 0.9182  7 Tl 3.36-3.47, 1 Pb 3.36, 2 Na 3.73
Pb: 0.0905 0.1810 0.7598  1 In 3.32, 6 Tl 3.34-3.68, 1 Pb 3.36, 2 Na 3.44
Pb: 0.0803 0.1606 0.4182  7 Tl 3.36-3.47, 1 Pb 3.36, 2 Na 3.73
Pb: 0.9095 0.8190 0.2598  1 In 3.32, 6 Tl 3.34-3.68, 1 Pb 3.36, 2 Na 3.44

Summary:
For the total DFT energy (no corrections), the calculation gives -2.613 eV per atom. The value obtained for the formation energy is -2.3 kJ/mol of atoms. Its total magnetic moment is 0.000 μB per atom.